VASP calculation (GGA-PBE) on a geometry-optimized KCu2Pt structure.

Cell and atoms, written as POSCAR:
```
KCu2Pt
1.0
-1.375 2.731 5.305
1.375 -2.731 5.305
1.375 2.731 -5.305
K Cu Pt
1 2 1
Cartesian
0.000 0.000 0.000 K
1.375 0.000 3.141 Cu
0.000 2.731 2.164 Cu
0.000 0.000 5.305 Pt
```

Values from the calculation:
Calculated total energy = -3.50 eV/atom
ΔE_f = 1.33 eV per formula unit
Crystal system = orthorhombic
Spin magnetization = 0.0000 μB per atom
Space group = Immm, No. 71